1.
An optimized crystal structure of KAcPa2O8, computed with GGA-PBE.

Results
final energy	-8.213	eV per atom
E_form (uncorrected)	-2.891	eV per atom
symmetry	No. 119
total moment	2.1	μB/f.u.
D(E_F)	0.734	states/eV per atom

The structure in POSCAR format:
```
KAcPa2O8
1.0
-2.873 2.873 5.454
2.873 -2.873 5.454
2.873 2.873 -5.454
K Ac Pa O
1 1 2 8
Cartesian
0.000 0.000 0.000
0.000 2.873 2.727
2.873 0.000 2.727
0.000 0.000 5.454
1.479 1.670 -1.395
1.395 -1.203 4.058
1.670 1.479 1.395
4.076 1.479 1.395
1.479 4.076 -1.395
1.395 1.203 4.058
-1.203 1.395 6.849
1.203 1.395 6.849
```

***

2.
An optimized crystal structure of Hg5Pb, computed with GGA-PBE.

Results
final energy	-0.776	eV per atom
energy relative to the elements	0.093	eV per atom
symmetry	No. 216
E above lowest polymorph	72	meV/atom
total moment	0.0	μB/f.u.
D(E_F)	0.568	states/eV per atom

The structure in POSCAR format:
```
Hg5Pb
1.0
0.000 4.355 4.355
4.355 0.000 4.355
4.355 4.355 0.000
Hg Pb
5 1
Cartesian
0.000 0.000 0.000
5.444 3.266 3.266
3.266 5.444 3.266
3.266 3.266 5.444
5.444 5.444 5.444
2.178 2.178 2.178
```

***

3.
An optimized crystal structure of Y2ErSnN4, computed with GGA-PBE.

Results
final energy	-7.933	eV per atom
E_form (uncorrected)	-1.084	eV per atom
symmetry	No. 10
total moment	0.0	μB/f.u.
D(E_F)	0.549	states/eV per atom

The structure in POSCAR format:
```
Y2ErSnN4
1.0
5.981 0.000 0.000
0.000 3.460 0.000
-2.015 0.000 5.652
Y Er Sn N
2 1 1 4
Cartesian
0.000 0.000 0.000
-1.008 1.730 2.826
1.983 0.000 2.826
2.991 1.730 0.000
-0.021 0.000 4.203
0.973 1.730 1.448
2.993 1.730 4.204
3.987 0.000 1.449
```

***

4.
An optimized crystal structure of Zn2CuSe, computed with GGA-PBE.

Results
final energy	-2.397	eV per atom
E_form (uncorrected)	0.135	eV per atom
symmetry	No. 119
total moment	0.0	μB/f.u.
D(E_F)	0.257	states/eV per atom

The structure in POSCAR format:
```
Zn2CuSe
1.0
-1.844 1.844 4.885
1.844 -1.844 4.885
1.844 1.844 -4.885
Zn Cu Se
2 1 1
Cartesian
0.000 0.000 0.000
0.000 1.844 2.443
1.844 0.000 2.443
0.000 0.000 4.885
```

***

5.
An optimized crystal structure of KMo2Br, computed with GGA-PBE.

Results
final energy	-4.228	eV per atom
E_form (uncorrected)	1.880	eV per atom
symmetry	No. 123
E above lowest polymorph	1631	meV/atom
total moment	10.0	μB/f.u.
D(E_F)	0.592	states/eV per atom

The structure in POSCAR format:
```
KMo2Br
1.0
4.502 0.000 0.000
0.000 4.502 0.000
0.000 0.000 6.319
K Mo Br
1 2 1
Cartesian
0.000 0.000 0.000
2.251 2.251 1.629
2.251 2.251 4.690
0.000 0.000 3.159
```

***

6.
An optimized crystal structure of Tb3PmDy5, computed with GGA-PBE.

Results
final energy	-4.217	eV per atom
energy relative to the elements	0.411	eV per atom
symmetry	No. 12
E above lowest polymorph	94	meV/atom
total moment	0.0	μB/f.u.
D(E_F)	1.473	states/eV per atom

The structure in POSCAR format:
```
Tb3PmDy5
1.0
8.386 -4.001 0.000
8.386 4.001 0.000
-8.038 0.000 9.290
Tb Pm Dy
6 2 10
Cartesian
0.000 0.000 0.000
-4.554 0.000 7.550
4.146 0.000 1.466
4.367 0.000 4.645
4.588 0.000 7.824
13.288 0.000 1.740
1.438 0.000 3.453
7.296 0.000 5.837
4.367 2.556 4.645
-1.223 0.000 5.292
1.521 1.637 6.692
7.214 1.637 2.599
-1.204 0.000 8.667
9.939 0.000 0.623
1.521 -1.637 6.692
7.214 -1.637 2.599
9.958 0.000 3.998
4.367 -2.556 4.645
```

***

7.
An optimized crystal structure of CdInSb2O, computed with GGA-PBE.

Results
final energy	-3.476	eV per atom
E_form (uncorrected)	-0.105	eV per atom
symmetry	No. 123
total moment	0.0	μB/f.u.
D(E_F)	0.641	states/eV per atom

The structure in POSCAR format:
```
CdInSb2O
1.0
4.752 0.000 0.000
0.000 4.752 0.000
0.000 0.000 5.116
Cd In Sb O
1 1 2 1
Cartesian
0.000 0.000 0.000
2.376 2.376 0.000
0.000 2.376 2.558
2.376 0.000 2.558
2.376 2.376 2.558
```

***

8.
An optimized crystal structure of CeHfNi2, computed with GGA-PBE.

Results
final energy	-7.224	eV per atom
energy relative to the elements	-0.362	eV per atom
symmetry	No. 123
E above lowest polymorph	0	meV/atom
total moment	0.0	μB/f.u.
D(E_F)	1.388	states/eV per atom

The structure in POSCAR format:
```
CeHfNi2
1.0
3.193 0.000 0.000
0.000 3.193 0.000
0.000 0.000 6.974
Ce Hf Ni
1 1 2
Cartesian
0.000 0.000 0.000
0.000 0.000 3.487
1.597 1.597 2.064
1.597 1.597 4.910
```

***

9.
An optimized crystal structure of DyTm2Te4, computed with GGA-PBE.

Results
final energy	-5.083	eV per atom
E_form (uncorrected)	-1.352	eV per atom
symmetry	No. 12
E above lowest polymorph	0	meV/atom
total moment	0.0	μB/f.u.
D(E_F)	0.456	states/eV per atom

The structure in POSCAR format:
```
DyTm2Te4
1.0
8.070 -2.156 0.000
8.070 2.156 0.000
-3.448 0.000 6.668
Dy Tm Te
1 2 4
Cartesian
0.000 0.000 0.000
3.187 0.000 1.804
9.505 0.000 4.864
0.390 0.000 3.037
5.845 0.000 0.222
6.846 0.000 6.446
12.302 0.000 3.631
```

***

10.
An optimized crystal structure of BeRhBr, computed with GGA-PBE.

Results
final energy	-4.671	eV per atom
E_form (uncorrected)	-0.421	eV per atom
symmetry	No. 6
E above lowest polymorph	7	meV/atom
total moment	0.0	μB/f.u.
D(E_F)	0.057	states/eV per atom

The structure in POSCAR format:
```
BeRhBr
1.0
3.299 0.000 0.000
0.000 3.702 0.000
-1.634 0.000 8.715
Be Rh Br
2 2 2
Cartesian
0.000 0.000 0.000
-0.003 1.851 1.299
0.022 1.851 8.372
1.658 0.000 1.642
0.509 0.000 6.650
2.145 1.851 3.364
```

***

11.
An optimized crystal structure of CdGa6I8, computed with GGA-PBE.

Results
final energy	-2.441	eV per atom
E_form (uncorrected)	-0.342	eV per atom
symmetry	No. 147
total moment	0.0	μB/f.u.
D(E_F)	0.000	states/eV per atom

The structure in POSCAR format:
```
CdGa6I8
1.0
10.206 0.000 0.000
-5.103 8.839 0.000
0.000 0.000 6.939
Cd Ga I
1 6 8
Cartesian
0.000 0.000 0.000
-2.920 5.803 1.142
1.537 3.409 1.142
3.721 0.373 5.797
1.382 8.466 1.142
3.566 5.430 5.797
8.023 3.036 5.797
-3.812 6.673 5.252
1.230 2.201 5.252
2.521 0.035 1.688
0.000 5.893 6.927
5.103 2.946 0.012
2.582 8.804 5.252
3.873 6.638 1.688
8.915 2.166 1.688
```

***

12.
An optimized crystal structure of ZrIn2B2, computed with GGA-PBE.

Results
final energy	-5.116	eV per atom
energy relative to the elements	0.360	eV per atom
symmetry	No. 127
E above lowest polymorph	0	meV/atom
total moment	0.0	μB/f.u.
D(E_F)	0.549	states/eV per atom

The structure in POSCAR format:
```
ZrIn2B2
1.0
6.493 0.000 0.000
0.000 6.493 0.000
0.000 0.000 3.834
Zr In B
2 4 4
Cartesian
0.000 0.000 0.000
3.246 3.246 0.000
1.182 2.064 1.917
2.064 5.311 1.917
4.428 1.182 1.917
5.311 4.428 1.917
0.584 3.830 0.000
2.662 0.584 0.000
3.830 5.908 0.000
5.908 2.662 0.000
```